# Mn2NbFeO6

An optimized crystal structure of Mn2NbFeO6 (PBE+U, the Alexandria database).

Geometry as POSCAR:
```
Mn2NbFeO6
1.0
-0.012 -2.314 -5.125
4.688 -1.005 -2.940
1.930 -5.177 -1.050
Mn O Fe Nb
2 6 1 1
Direct
0.503 0.503 0.503
0.997 0.997 0.997
0.563 0.156 0.921
0.056 0.424 0.660
0.424 0.660 0.056
0.156 0.921 0.563
0.660 0.056 0.424
0.921 0.563 0.156
0.280 0.280 0.280
0.781 0.781 0.781
```

## Properties
Crystal system   trigonal
Magnetic moment   15.000 μB per cell
Space-group type   R3, No. 146
Final energy   -0.29291 Ha/atom